The following is a DFT calculation (SCAN) of Na5CoSO2 at its PBEsol-relaxed geometry.

The calculation puts the formation energy (no corrections) at -1.270 eV per atom.

The structure belongs to space group P4/mmm (No. 123); the cell edges are 4.576, 4.576 and 7.937 Å and the angles 90.00°, 90.00° and 90.00°. The inequivalent atoms are Na at (0.000, 0.000, 0.000), Na at (0.000, 0.500, 0.252), Co at (0.000, 0.000, 0.500), S at (0.500, 0.500, 0.000) and O at (0.000, 0.000, 0.282).


The following is a DFT calculation (SCAN) of CaLa2Al at its PBEsol-relaxed geometry.

The value obtained for the energy of formation from the pure elements is -0.148 eV/atom.

The structure belongs to space group Pmmm (No. 47); the cell edges are 3.656, 4.383 and 7.757 Å and the angles 90.00°, 90.00° and 90.00°. The inequivalent atoms are Ca at (0.000, 0.000, 0.000), La at (0.500, 0.500, 0.302) and Al at (0.000, 0.000, 0.500).


The following is a DFT calculation (SCAN) of ZnRuW2 at its PBEsol-relaxed geometry.

The value obtained for the energy of formation from the pure elements is 0.309 eV/atom.

The structure belongs to space group Cmmm (No. 65); the cell edges are 3.046, 4.390 and 8.832 Å and the angles 90.00°, 90.00° and 90.00°. The inequivalent atoms are Zn at (0.000, 0.000, 0.000), Ru at (0.000, 0.000, 0.500) and W at (0.000, 0.500, 0.254).


The following is a DFT calculation (SCAN) of TbGa3B4O12 at its PBEsol-relaxed geometry.

The calculation puts the formation energy (no corrections) at -2.614 eV per atom.

The structure belongs to space group R32 (No. 155, hexagonal axes); the cell edges are 9.4792, 9.4792 and 7.4186 Å and the angles 90.00°, 90.00° and 120.00°. The inequivalent atoms are Tb at (0.0000, 0.0000, 0.0000), Ga at (0.0000, 0.5504, 0.0000), B at (0.0000, 0.0000, 0.5000), B at (0.0000, 0.4470, 0.5000), O at (0.0000, 0.5925, 0.5000), O at (0.0000, 0.8542, 0.5000) and O at (0.0268, 0.2114, 0.1830).


The following is a DFT calculation (SCAN) of CsBi2 at its PBEsol-relaxed geometry.

The value obtained for the energy of formation from the pure elements is -0.369 eV/atom.

The structure belongs to space group Fd-3m (No. 227, origin choice 2); the cell edges are 9.640, 9.640 and 9.640 Å and the angles 90.00°, 90.00° and 90.00°. The inequivalent atoms are Cs at (0.125, 0.125, 0.125) and Bi at (0.000, 0.000, 0.500).


The following is a DFT calculation (SCAN) of LiCu2Cl at its PBEsol-relaxed geometry.

The energy above the most stable polymorph in this dataset comes out at 0.000 eV per atom. The calculation puts the formation energy (no corrections) at -0.358 eV per atom.

The structure belongs to space group P4/mmm (No. 123); the cell edges are 3.342, 3.342 and 5.524 Å and the angles 90.00°, 90.00° and 90.00°. The inequivalent atoms are Li at (0.000, 0.000, 0.000), Cu at (0.000, 0.500, 0.500) and Cl at (0.500, 0.500, 0.000).


| no. | volume (Å³/atom) |
| --- | --- |
| 1 | 18.47 |
| 2 | 31.07 |
| 3 | 14.76 |
| 4 | 9.62 |
| 5 | 37.33 |
| 6 | 15.42 |